Record 1
Compound: Tl12As3I5
Source: Alexandria
Functional: PBE
Structure: relaxed

Cell: 16.905 16.905 16.905 Å, 109.47 109.47 109.47°
Atoms (fractional coordinates):
1 I 0.625 0.875 0.250
2 I 0.000 0.000 0.000
3 Tl 0.672 0.067 0.224
4 Tl 0.605 0.672 0.448
5 Tl 0.328 0.395 0.052
6 I 0.000 0.500 0.500
7 As 0.750 0.375 0.125
8 Tl 0.433 0.657 0.105
9 Tl 0.224 0.567 0.672
10 Tl 0.395 0.328 0.552
11 Tl 0.172 0.448 0.105
12 As 0.125 0.250 0.875
13 Tl 0.724 0.552 0.157
14 Tl 0.567 0.343 0.895
15 I 0.500 0.500 0.000
16 Tl 0.328 0.933 0.776
17 Tl 0.567 0.224 0.172
18 Tl 0.776 0.433 0.328
19 Tl 0.828 0.276 0.433
20 Tl 0.067 0.395 0.843
21 Tl 0.157 0.052 0.724
22 Tl 0.172 0.724 0.567
23 I 0.375 0.125 0.750
24 Tl 0.343 0.776 0.448
25 Tl 0.605 0.933 0.657
26 Tl 0.105 0.948 0.172
27 I 0.125 0.750 0.375
28 I 0.500 0.500 0.500
29 Tl 0.657 0.224 0.552
30 Tl 0.657 0.433 0.605
31 As 0.625 0.250 0.375
32 As 0.250 0.625 0.875
33 As 0.250 0.125 0.375
34 I 0.750 0.125 0.875
35 I 0.375 0.250 0.125
36 Tl 0.776 0.343 0.948
37 Tl 0.052 0.157 0.224
38 Tl 0.724 0.172 0.067
39 Tl 0.157 0.105 0.933
40 As 0.875 0.125 0.250
41 Tl 0.052 0.895 0.328
42 I 0.000 0.500 0.000
43 I 0.125 0.375 0.250
44 Tl 0.224 0.657 0.052
45 Tl 0.343 0.567 0.395
46 Tl 0.448 0.276 0.343
47 Tl 0.895 0.843 0.567
48 Tl 0.433 0.776 0.828
49 As 0.750 0.875 0.625
50 I 0.625 0.750 0.875
51 Tl 0.843 0.895 0.067
52 Tl 0.552 0.828 0.395
53 Tl 0.948 0.105 0.672
54 As 0.375 0.750 0.625
55 Tl 0.395 0.067 0.343
56 I 0.750 0.625 0.375
57 Tl 0.843 0.948 0.276
58 I 0.500 0.000 0.500
59 Tl 0.276 0.828 0.933
60 I 0.000 0.000 0.500
61 Tl 0.895 0.052 0.828
62 I 0.500 0.000 0.000
63 As 0.125 0.875 0.750
64 I 0.875 0.625 0.750
65 Tl 0.552 0.724 0.657
66 Tl 0.448 0.172 0.605
67 As 0.875 0.750 0.125
68 Tl 0.933 0.605 0.157
69 As 0.375 0.625 0.250
70 Tl 0.672 0.605 0.948
71 Tl 0.933 0.328 0.276
72 Tl 0.948 0.843 0.776
73 As 0.625 0.375 0.750
74 Tl 0.276 0.448 0.843
75 Tl 0.828 0.552 0.895
76 I 0.250 0.375 0.625
77 Tl 0.105 0.157 0.433
78 I 0.875 0.250 0.625
79 I 0.250 0.875 0.125
80 Tl 0.067 0.672 0.724

Output
Crystal system: cubic
Formation energy without anion corrections (eV per atom): -0.108
Raw total energy (eV/atom): -2.6127
Density of states at the Fermi level (states/eV/atom): 0.59



Record 2
Compound: TlAs2I
Source: Alexandria
Functional: PBE
Structure: relaxed

Cell: 5.230 5.230 5.230 Å, 60.00 60.00 60.00°
Atoms (fractional coordinates):
1 As 0.250 0.250 0.250
2 I 0.000 0.000 0.000
3 As 0.750 0.750 0.750
4 Tl 0.500 0.500 0.500

Output
Energy above the lowest structure with this stoichiometry (kcal/mol of atoms): 0.654
Crystal system: cubic
Formation energy without anion corrections (eV per atom): 0.578
Raw total energy (eV/atom): -2.7257
Density of states at the Fermi level (states/eV/atom): 0.62



Record 3
Compound: TlAsI5
Source: Alexandria
Functional: PBE
Structure: relaxed

Cell: 8.646 8.646 11.211 Å, 67.96 67.96 95.34°
Atoms (fractional coordinates):
1 I 0.335 0.252 0.318
2 I 0.665 0.748 0.682
3 I 0.062 0.938 0.750
4 I 0.825 0.266 0.503
5 As 0.000 0.000 0.000
6 As 0.000 0.000 0.500
7 Tl 0.360 0.640 0.250
8 Tl 0.640 0.360 0.750
9 I 0.175 0.734 0.497
10 I 0.252 0.335 0.818
11 I 0.938 0.062 0.250
12 I 0.734 0.175 0.997
13 I 0.748 0.665 0.182
14 I 0.266 0.825 0.003

Output
Crystal system: monoclinic
Formation energy without anion corrections (eV per atom): -0.174
Raw total energy (eV/atom): -2.2831
Density of states at the Fermi level (states/eV/atom): 0.53



Record 4
Compound: Tl2As2I7
Source: Alexandria
Functional: PBE
Structure: relaxed

Cell: 7.912 8.780 8.780 Å, 101.57 94.42 94.42°
Atoms (fractional coordinates):
1 Tl 0.000 0.691 0.309
2 I 0.777 0.924 0.595
3 I 0.748 0.385 0.385
4 As 0.582 0.756 0.756
5 I 0.223 0.076 0.405
6 I 0.223 0.405 0.076
7 I 0.252 0.615 0.615
8 As 0.418 0.244 0.244
9 I 0.777 0.595 0.924
10 I 0.500 0.000 0.000
11 Tl 0.000 0.309 0.691

Output
Crystal system: monoclinic
Formation energy without anion corrections (eV per atom): -0.234
Raw total energy (eV/atom): -2.4963
Density of states at the Fermi level (states/eV/atom): 0.25



no.,mass density (g/cm3)
1,5.91
2,7.90
3,4.38
4,4.05